1.
Compound: LiTb2Eu
Source: Alexandria
Functional: PBE
Structure: relaxed

**Relative energy among the computed polymorphs**: 75 meV/atom
**SG**: P4/mmm
**DFT formation energy**: 0.21 eV per atom
**E_tot**: -20.617 eV/f.u.

Cell lengths 3.938, 5.597, 5.597 Å; angles 90.00, 90.00, 90.00 degrees
Atoms (fractional coordinates):
Eu 0.500 0.500 0.500
Tb 0.000 0.000 0.500
Tb 0.000 0.500 0.000
Li 0.500 0.000 0.000


2.
Compound: Li4TbEu
Source: Alexandria
Functional: PBE
Structure: relaxed

**SG**: F-43m
**DFT formation energy**: 0.10 eV per atom
**E_tot**: -21.951 eV/f.u.

Cell lengths 6.016, 6.016, 6.016 Å; angles 60.00, 60.00, 60.00 degrees
Atoms (fractional coordinates):
Eu 0.000 0.000 0.000
Tb 0.250 0.250 0.250
Li 0.624 0.624 0.127
Li 0.624 0.127 0.624
Li 0.624 0.624 0.624
Li 0.127 0.624 0.624